{"formula": "LaCuSb", "functional": "PBE", "state": "optimized geometry", "lattice_angstrom": [[6.1370, -0.0012, 0.0124], [3.9955, 4.6581, -0.0124], [-4.9722, -2.5331, 2.5541]], "species": ["Cu", "Sb", "La"], "fractional_positions": [[0.0182, 0.0182, 0.0000], [0.6365, 0.6365, 0.0000], [0.3453, 0.3453, 0.0000]], "sg": "No. 44", "e_form_raw_mev_per_atom": -354.1}

{"formula": "Hf2TiW", "functional": "PBE", "state": "optimized geometry", "lattice_angstrom": [[7.4782, 0.0000, 0.0000], [0.0000, 7.4782, 0.0000], [3.7391, 3.7391, 2.8543]], "species": ["Hf", "Hf", "Hf", "Hf", "Ti", "Ti", "W", "W"], "fractional_positions": [[0.1187, 0.6250, 0.2500], [0.8750, 0.8813, 0.7500], [0.3750, 0.3687, 0.7500], [0.6313, 0.1250, 0.2500], [0.2500, 0.7500, 0.5000], [0.5000, 0.5000, 0.0000], [0.7500, 0.2500, 0.5000], [0.0000, 0.0000, 0.0000]], "sg": "No. 122", "dft_energy_ev_per_atom": -9.503}

{"formula": "Pr4NdCu5", "functional": "PBE", "state": "optimized geometry", "lattice_angstrom": [[3.5958, 0.0000, 0.0000], [0.0000, 3.5958, 0.0000], [0.0000, 0.0000, 18.2512]], "species": ["Pr", "Pr", "Pr", "Pr", "Cu", "Cu", "Cu", "Cu", "Cu", "Nd"], "fractional_positions": [[0.0000, 0.0000, 0.1991], [0.0000, 0.0000, 0.6003], [0.0000, 0.0000, 0.3997], [0.0000, 0.0000, 0.8009], [0.5000, 0.5000, 0.7006], [0.5000, 0.5000, 0.0979], [0.5000, 0.5000, 0.2994], [0.5000, 0.5000, 0.5000], [0.5000, 0.5000, 0.9021], [0.0000, 0.0000, 0.0000]], "sg": "No. 123", "dft_energy_ev_per_atom": -4.560}

{"formula": "AcYBi2O8", "functional": "PBE", "state": "optimized geometry", "lattice_angstrom": [[5.5574, 0.0000, 0.0000], [0.0000, 5.5574, 0.0000], [-2.7787, -2.7787, 5.8421]], "species": ["O", "O", "O", "O", "O", "O", "O", "O", "Ac", "Bi", "Bi", "Y"], "fractional_positions": [[0.1635, 0.6161, 0.8212], [0.3839, 0.3422, 0.1788], [0.9737, 0.3975, 0.3044], [0.6025, 0.6693, 0.6956], [0.7949, 0.8366, 0.1788], [0.0932, 0.0263, 0.6956], [0.3307, 0.9068, 0.3044], [0.6578, 0.2051, 0.8212], [0.7500, 0.2500, 0.5000], [0.2500, 0.7500, 0.5000], [0.5000, 0.5000, 0.0000], [0.0000, 0.0000, 0.0000]], "sg": "No. 82", "e_form_raw_mev_per_atom": -1933.6}

{"formula": "Tb3Ho2Pd2", "functional": "PBE", "state": "optimized geometry", "lattice_angstrom": [[3.5873, -0.0015, 0.9291], [-0.9203, 9.4848, 3.5646], [0.2655, 1.6831, 6.3594]], "species": ["Tb", "Tb", "Tb", "Ho", "Ho", "Pd", "Pd"], "fractional_positions": [[0.0000, 0.0000, 0.0000], [0.8451, 0.2911, 0.3105], [0.1549, 0.7089, 0.6895], [0.3883, 0.6260, 0.2237], [0.6117, 0.3740, 0.7763], [0.6415, 0.9261, 0.7169], [0.3585, 0.0739, 0.2831]], "sg": "No. 12", "dft_energy_ev_per_atom": -5.170}

{"formula": "TiNbZnPt", "functional": "PBE", "state": "optimized geometry", "lattice_angstrom": [[4.4958, 0.0000, 0.0000], [2.2479, 3.8935, 0.0000], [2.2479, 1.2978, 3.6708]], "species": ["Zn", "Nb", "Pt", "Ti"], "fractional_positions": [[0.5000, 0.5000, 0.5000], [0.7500, 0.7500, 0.7500], [0.2500, 0.2500, 0.2500], [0.0000, 0.0000, 0.0000]], "sg": "No. 216", "dft_energy_ev_per_atom": -6.621}

{"formula": "Pa3HgN2O6", "functional": "PBE", "state": "optimized geometry", "lattice_angstrom": [[-0.7639, -4.3984, 1.9831], [-0.0020, -2.9977, -6.6495], [5.5182, 0.6458, 3.7077]], "species": ["O", "O", "O", "O", "O", "O", "N", "N", "Pa", "Pa", "Pa", "Hg"], "fractional_positions": [[0.2222, 0.6104, 0.7967], [0.3083, 0.1650, 0.3300], [0.7778, 0.8137, 0.2033], [0.6917, 0.8350, 0.6700], [0.7778, 0.3896, 0.2033], [0.2222, 0.1863, 0.7967], [0.7078, 0.3364, 0.6728], [0.2922, 0.6636, 0.3272], [0.5000, 0.0000, 0.5000], [0.0000, 0.5000, 0.0000], [0.5000, 0.5000, 0.5000], [0.5000, 0.0000, 0.0000]], "sg": "No. 12", "e_form_raw_mev_per_atom": -2242.3}

{"formula": "BAs2RuBr", "functional": "PBE", "state": "optimized geometry", "lattice_angstrom": [[4.2456, 0.0000, 0.0000], [0.0000, 4.2456, 0.0000], [0.0000, 0.0000, 4.6100]], "species": ["Ru", "Br", "B", "As", "As"], "fractional_positions": [[0.5000, 0.5000, 0.5000], [0.0000, 0.0000, 0.5000], [0.0000, 0.0000, 0.0000], [0.5000, 0.0000, 0.0000], [0.0000, 0.5000, 0.0000]], "sg": "No. 123", "e_form_raw_mev_per_atom": 1134.2}

{"formula": "SbTeRu2", "functional": "PBE", "state": "optimized geometry", "lattice_angstrom": [[3.2666, 0.0000, 0.0000], [0.0000, 4.0454, 0.0000], [0.0000, 0.0000, 5.6293]], "species": ["Sb", "Ru", "Ru", "Te"], "fractional_positions": [[0.0000, 0.0000, 0.4335], [0.0000, 0.0000, 0.9553], [0.5000, 0.5000, 0.2881], [0.5000, 0.5000, 0.8231]], "sg": "No. 25", "e_form_raw_mev_per_atom": 102.0}

{"formula": "Ag2Br5N2", "functional": "PBE", "state": "optimized geometry", "lattice_angstrom": [[3.0481, -0.5965, -2.2669], [-0.5787, 6.5915, -2.3906], [2.7689, 6.4383, 21.9026]], "species": ["Ag", "Ag", "Ag", "Ag", "Br", "Br", "Br", "Br", "Br", "Br", "Br", "Br", "Br", "Br", "N", "N", "N", "N"], "fractional_positions": [[0.9156, 0.2565, 0.9956], [0.9481, 0.0346, 0.4010], [0.4968, 0.5940, 0.9987], [0.0707, 0.8492, 0.6039], [0.4800, 0.9938, 0.2422], [0.6702, 0.7530, 0.1608], [0.5562, 0.5956, 0.6005], [0.0225, 0.3474, 0.1442], [0.5441, 0.0993, 0.5936], [0.4753, 0.7847, 0.4113], [0.5679, 0.9281, 0.7625], [0.1017, 0.2967, 0.8496], [0.4630, 0.2885, 0.4045], [0.3639, 0.7175, 0.8435], [0.8133, 0.6005, 0.1065], [0.5870, 0.2116, 0.8908], [0.1858, 0.5763, 0.8907], [0.2377, 0.2447, 0.0999]], "sg": "No. 1", "e_form_raw_mev_per_atom": 687.0}

{"formula": "Hf2TlBiPb", "functional": "PBE", "state": "optimized geometry", "lattice_angstrom": [[5.4653, 0.0000, 0.0000], [0.0000, 5.9783, 0.0000], [0.0000, 0.0000, 5.4653]], "species": ["Tl", "Hf", "Hf", "Pb", "Bi"], "fractional_positions": [[0.5000, 0.5000, 0.5000], [0.5000, 0.0000, 0.0000], [0.0000, 0.0000, 0.5000], [0.0000, 0.5000, 0.0000], [0.0000, 0.0000, 0.0000]], "sg": "No. 123", "dft_energy_ev_per_atom": -4.823}

{"formula": "Al2AuBr", "functional": "PBE", "state": "optimized geometry", "lattice_angstrom": [[3.3230, 0.0000, 0.0000], [0.0000, 6.2079, 0.0000], [0.0000, 0.0000, 4.3039]], "species": ["Al", "Al", "Br", "Au"], "fractional_positions": [[0.5000, 0.5000, 0.0000], [0.0000, 0.0000, 0.0000], [0.0000, 0.5000, 0.5000], [0.5000, 0.0000, 0.5000]], "sg": "No. 47", "e_form_raw_mev_per_atom": 108.1}

Please write out number 7 again, unchanged.
{"formula": "Pa3HgN2O6", "functional": "PBE", "state": "optimized geometry", "lattice_angstrom": [[-0.7639, -4.3984, 1.9831], [-0.0020, -2.9977, -6.6495], [5.5182, 0.6458, 3.7077]], "species": ["O", "O", "O", "O", "O", "O", "N", "N", "Pa", "Pa", "Pa", "Hg"], "fractional_positions": [[0.2222, 0.6104, 0.7967], [0.3083, 0.1650, 0.3300], [0.7778, 0.8137, 0.2033], [0.6917, 0.8350, 0.6700], [0.7778, 0.3896, 0.2033], [0.2222, 0.1863, 0.7967], [0.7078, 0.3364, 0.6728], [0.2922, 0.6636, 0.3272], [0.5000, 0.0000, 0.5000], [0.0000, 0.5000, 0.0000], [0.5000, 0.5000, 0.5000], [0.5000, 0.0000, 0.0000]], "sg": "No. 12", "e_form_raw_mev_per_atom": -2242.3}